A plane-wave DFT calculation with GGA-PBE was carried out for YCd23Hg6 after structural relaxation.

a = 10.0444 Å, b = 10.0444 Å, c = 10.0444 Å
α = 60.00°, β = 60.00°, γ = 60.00°
Closest atoms and distances in Å follow each position.
Atoms (fractional coordinates):
Y  0.0000  0.0000  0.0000  6 Hg 3.15
Cd  0.0000  0.0000  0.5000  8 Cd 2.92-3.09
Cd  0.0000  0.5000  0.0000  8 Cd 2.92-3.09
Cd  0.0000  0.5000  0.5000  8 Cd 2.92-3.09
Cd  0.1313  0.6229  0.6229  7 Cd 3.02-3.26, 3 Hg 3.31
Cd  0.1511  0.1511  0.1511  6 Cd 2.92-3.26, 3 Hg 3.20
Cd  0.1511  0.1511  0.5466  6 Cd 2.92-3.26, 3 Hg 3.20
Cd  0.1511  0.5466  0.1511  6 Cd 2.92-3.26, 3 Hg 3.20
Cd  0.3771  0.3771  0.3771  7 Cd 3.02-3.26, 3 Hg 3.31
Cd  0.3771  0.3771  0.8687  7 Cd 3.02-3.26, 3 Hg 3.31
Cd  0.3771  0.8687  0.3771  7 Cd 3.02-3.26, 3 Hg 3.31
Cd  0.4534  0.8489  0.8489  6 Cd 2.92-3.26, 3 Hg 3.20
Cd  0.5000  0.0000  0.0000  8 Cd 2.92-3.09
Cd  0.5000  0.0000  0.5000  8 Cd 2.92-3.09
Cd  0.5000  0.5000  0.0000  8 Cd 2.92-3.09
Cd  0.5000  0.5000  0.5000  8 Cd 3.02
Cd  0.5466  0.1511  0.1511  6 Cd 2.92-3.26, 3 Hg 3.20
Cd  0.6229  0.1313  0.6229  7 Cd 3.02-3.26, 3 Hg 3.31
Cd  0.6229  0.6229  0.1313  7 Cd 3.02-3.26, 3 Hg 3.31
Cd  0.6229  0.6229  0.6229  7 Cd 3.02-3.26, 3 Hg 3.31
Cd  0.8489  0.4534  0.8489  6 Cd 2.92-3.26, 3 Hg 3.20
Cd  0.8489  0.8489  0.4534  6 Cd 2.92-3.26, 3 Hg 3.20
Cd  0.8489  0.8489  0.8489  6 Cd 2.92-3.26, 3 Hg 3.20
Cd  0.8687  0.3771  0.3771  7 Cd 3.02-3.26, 3 Hg 3.31
Hg  0.2220  0.2220  0.7780  1 Y 3.15, 8 Cd 3.20-3.31
Hg  0.2220  0.7780  0.2220  1 Y 3.15, 8 Cd 3.20-3.31
Hg  0.2220  0.7780  0.7780  1 Y 3.15, 8 Cd 3.20-3.31
Hg  0.7780  0.2220  0.2220  1 Y 3.15, 8 Cd 3.20-3.31
Hg  0.7780  0.2220  0.7780  1 Y 3.15, 8 Cd 3.20-3.31
Hg  0.7780  0.7780  0.2220  1 Y 3.15, 8 Cd 3.20-3.31

Results
As for the total magnetic moment: 0.0 μB/f.u. The energy of formation from the pure elements comes out at 15 meV per atom. The total energy comes out at -0.9625 eV/atom. Its crystal system is cubic.